SrCrRh | GGA-PBE | relaxed

Lattice parameters (Å, degrees): 6.1468 6.1468 6.1468 147.60 147.60 46.47
Positions (direct):
Sr  0.0000  0.0000  0.0000
Cr  0.2806  0.2806  0.0000
Rh  0.7055  0.7055  0.0000

Calculated values
**VASP energy**: -5.94 eV per atom
**Formation energy from the elements**: 0.275 eV per atom
**Symmetry**: I4mm, No. 107
**Energy above the most stable polymorph in this dataset**: 0.065 eV/atom
**DOS(E_F)**: 4.31 states/eV/cell
**Magnetic moment**: 3.52 Bohr magnetons per cell

SrCrRh2 | GGA-PBE | relaxed

Lattice parameters (Å, degrees): 4.1539 4.1539 6.2429 109.54 109.54 60.09
Positions (direct):
Sr  0.0000  0.0000  0.0000
Cr  0.8137  0.8137  0.4371
Rh  0.2061  0.2061  0.6148
Rh  0.4673  0.4673  0.3993

Calculated values
**VASP energy**: -6.38 eV per atom
**Formation energy from the elements**: 0.121 eV per atom
**Symmetry**: Cm, No. 8
**Energy above the most stable polymorph in this dataset**: 0.070 eV/atom
**DOS(E_F)**: 5.16 states/eV/cell
**Magnetic moment**: 2.01 Bohr magnetons per cell

SrCrRh2 | GGA-PBE | relaxed

Lattice parameters (Å, degrees): 3.0863 3.0976 7.4865 90.00 90.00 90.00
Positions (direct):
Sr  0.0000  0.0000  0.0000
Cr  0.0000  0.0000  0.5000
Rh  0.5000  0.5000  0.3094
Rh  0.5000  0.5000  0.6906

Calculated values
**VASP energy**: -6.45 eV per atom
**Formation energy from the elements**: 0.055 eV per atom
**Symmetry**: Pmmm, No. 47
**Energy above the most stable polymorph in this dataset**: 0.003 eV/atom
**DOS(E_F)**: 3.32 states/eV/cell
**Magnetic moment**: 2.32 Bohr magnetons per cell

SrCr3Rh | GGA-PBE | relaxed

Lattice parameters (Å, degrees): 4.9057 4.9057 4.9057 90.00 90.00 90.00
Positions (direct):
Sr  0.0000  0.0000  0.0000
Cr  0.0000  0.5000  0.5000
Cr  0.5000  0.0000  0.5000
Cr  0.5000  0.5000  0.0000
Rh  0.5000  0.5000  0.5000

Calculated values
**VASP energy**: -6.72 eV per atom
**Formation energy from the elements**: 0.863 eV per atom
**Symmetry**: Pm-3m, No. 221
**Energy above the most stable polymorph in this dataset**: 0.000 eV/atom
**DOS(E_F)**: 9.56 states/eV/cell
**Magnetic moment**: 11.26 Bohr magnetons per cell

SrCrRh2 | GGA-PBE | relaxed

Lattice parameters (Å, degrees): 5.8335 5.8335 5.8335 149.81 131.25 58.42
Positions (direct):
Sr  0.0000  0.0000  0.0000
Cr  0.2852  0.7852  0.5000
Rh  0.4987  0.4987  0.0000
Rh  0.7275  0.2275  0.5000

Calculated values
**VASP energy**: -6.19 eV per atom
**Formation energy from the elements**: 0.313 eV per atom
**Symmetry**: Imm2, No. 44
**Energy above the most stable polymorph in this dataset**: 0.262 eV/atom
**DOS(E_F)**: 4.49 states/eV/cell
**Magnetic moment**: 3.33 Bohr magnetons per cell

SrCrRh2 | GGA-PBE | relaxed

Lattice parameters (Å, degrees): 4.7267 4.7267 4.7267 60.00 60.00 60.00
Positions (direct):
Sr  0.0000  0.0000  0.0000
Cr  0.7500  0.7500  0.7500
Rh  0.2500  0.2500  0.2500
Rh  0.5000  0.5000  0.5000

Calculated values
**VASP energy**: -6.00 eV per atom
**Formation energy from the elements**: 0.498 eV per atom
**Symmetry**: F-43m, No. 216
**Energy above the most stable polymorph in this dataset**: 0.447 eV/atom
**DOS(E_F)**: 7.91 states/eV/cell
**Magnetic moment**: 3.10 Bohr magnetons per cell